(1)
! Ba8Rh3Cl4 PBE optimized geometry; values from VASP
&SYSTEM
  ibrav = 0, nat = 15, ntyp = 3
/
ATOMIC_SPECIES
Ba 137.33 Ba.upf
Rh 102.91 Rh.upf
Cl 35.45 Cl.upf
ATOMIC_POSITIONS crystal
Ba 0.221 0.744 0.744
Ba 0.236 0.236 0.236
Ba 0.256 0.256 0.779
Ba 0.256 0.779 0.256
Ba 0.744 0.221 0.744
Ba 0.744 0.744 0.221
Ba 0.764 0.764 0.764
Ba 0.779 0.256 0.256
Rh 0.000 0.000 0.500
Rh 0.000 0.500 0.000
Rh 0.500 0.000 0.000
Cl 0.000 0.000 0.000
Cl 0.361 0.361 0.361
Cl 0.500 0.500 0.500
Cl 0.639 0.639 0.639
CELL_PARAMETERS angstrom
4.570 2.638 8.274
-4.570 2.638 8.274
0.000 -5.277 8.274
! Uncorrected formation energy = -1.080 eV/atom

(2)
! BaRhCl PBE optimized geometry; values from VASP
&SYSTEM
  ibrav = 0, nat = 3, ntyp = 3
/
ATOMIC_SPECIES
Ba 137.33 Ba.upf
Rh 102.91 Rh.upf
Cl 35.45 Cl.upf
ATOMIC_POSITIONS crystal
Ba 0.000 0.000 0.000
Rh 0.500 0.500 0.500
Cl 0.750 0.750 0.750
CELL_PARAMETERS angstrom
0.000 3.466 3.466
3.466 0.000 3.466
3.466 3.466 0.000
! Excess energy over the best structure of this formula in the dataset = 856 meV/atom
! Uncorrected formation energy = -0.285 eV/atom

(3)
! Ba6Rh3Cl2 PBE optimized geometry; values from VASP
&SYSTEM
  ibrav = 0, nat = 11, ntyp = 3
/
ATOMIC_SPECIES
Ba 137.33 Ba.upf
Rh 102.91 Rh.upf
Cl 35.45 Cl.upf
ATOMIC_POSITIONS crystal
Ba 0.062 0.406 0.218
Ba 0.250 0.250 0.786
Ba 0.406 0.062 0.218
Ba 0.594 0.938 0.782
Ba 0.750 0.750 0.214
Ba 0.938 0.594 0.782
Rh 0.000 0.000 0.000
Rh 0.332 0.668 0.000
Rh 0.668 0.332 0.000
Cl 0.165 0.835 0.500
Cl 0.835 0.165 0.500
CELL_PARAMETERS angstrom
3.947 -6.825 0.000
3.947 6.825 0.000
-2.650 0.000 7.784
! Uncorrected formation energy = -0.762 eV/atom

(4)
! Ba2RhCl PBE optimized geometry; values from VASP
&SYSTEM
  ibrav = 0, nat = 4, ntyp = 3
/
ATOMIC_SPECIES
Ba 137.33 Ba.upf
Rh 102.91 Rh.upf
Cl 35.45 Cl.upf
ATOMIC_POSITIONS crystal
Ba 0.000 0.000 0.000
Ba 0.189 0.189 0.189
Rh 0.595 0.595 0.595
Cl 0.426 0.426 0.426
CELL_PARAMETERS angstrom
2.233 1.289 8.032
-2.233 1.289 8.032
0.000 -2.579 8.032
! Excess energy over the best structure of this formula in the dataset = 24 meV/atom
! Uncorrected formation energy = -0.992 eV/atom

(5)
! BaRhCl PBE optimized geometry; values from VASP
&SYSTEM
  ibrav = 0, nat = 3, ntyp = 3
/
ATOMIC_SPECIES
Ba 137.33 Ba.upf
Rh 102.91 Rh.upf
Cl 35.45 Cl.upf
ATOMIC_POSITIONS crystal
Ba 0.000 0.000 0.000
Rh 0.750 0.750 0.750
Cl 0.250 0.250 0.250
CELL_PARAMETERS angstrom
0.000 3.587 3.587
3.587 0.000 3.587
3.587 3.587 0.000
! Excess energy over the best structure of this formula in the dataset = 1011 meV/atom
! Uncorrected formation energy = -0.131 eV/atom

(6)
! Ba2RhCl PBE optimized geometry; values from VASP
&SYSTEM
  ibrav = 0, nat = 4, ntyp = 3
/
ATOMIC_SPECIES
Ba 137.33 Ba.upf
Rh 102.91 Rh.upf
Cl 35.45 Cl.upf
ATOMIC_POSITIONS crystal
Ba 0.240 0.240 0.240
Ba 0.760 0.760 0.760
Rh 0.500 0.500 0.500
Cl 0.000 0.000 0.000
CELL_PARAMETERS angstrom
2.266 1.308 7.807
-2.266 1.308 7.807
0.000 -2.616 7.807
! Excess energy over the best structure of this formula in the dataset = 0 meV/atom
! Uncorrected formation energy = -1.016 eV/atom

> What is the formula in the first record?

Ba8Rh3Cl4

> What is the uncorrected formation energy in the fifth record?

-0.131 eV/atom

> uncorrected formation energy of number 4 (Ba2RhCl)?

-0.992 eV/atom